# SrCdTe2N

SrCdTe2N after structural relaxation (PBE, Alexandria via LeMat-Bulk).

It has space group P4/mmm (No. 123), with a = 6.255 Å, b = 6.255 Å, c = 4.851 Å, α = 90.00°, β = 90.00° and γ = 90.00°. Symmetry generates all atoms from Sr at (0.000, 0.000, 0.000), Cd at (0.500, 0.500, 0.500), Te at (0.000, 0.500, 0.000) and N at (0.000, 0.000, 0.500).

Its raw total energy is -2.76 eV per atom. For the formation energy from raw total energies, the calculation gives 0.685 eV per atom. Its energy above the most stable polymorph in this dataset is 12.401 kcal/mol of atoms.